Entry from Alexandria via LeMat-Bulk: a relaxed Ti3CrP6O24 crystal (GGA+U).

Unit cell a=8.8618 b=8.8618 c=8.8618 alpha=58.22 beta=58.22 gamma=58.22
Each line ends with the local moment (μB).
Positions (direct):
Cr  0.1430  0.1430  0.1430  -2.37
O  0.0782  0.7098  0.9368  0.07
O  0.2242  0.3594  0.9926  0.10
O  0.7098  0.9368  0.0782  0.07
O  0.4361  0.2096  0.5794  0.12
O  0.9926  0.2242  0.3594  0.10
O  0.5019  0.1415  0.2755  0.06
O  0.4276  0.5567  0.7924  0.07
O  0.7924  0.4276  0.5567  0.07
O  0.0026  0.7831  0.6361  0.08
O  0.4947  0.8583  0.7293  0.11
O  0.6361  0.0026  0.7831  0.08
O  0.2820  0.0631  0.9261  0.17
O  0.2755  0.5019  0.1415  0.06
O  0.9368  0.0782  0.7098  0.07
O  0.3594  0.9926  0.2242  0.10
O  0.0631  0.9261  0.2820  0.17
O  0.5567  0.7924  0.4276  0.07
O  0.7831  0.6361  0.0026  0.08
O  0.2096  0.5794  0.4361  0.12
O  0.7293  0.4947  0.8583  0.11
O  0.5794  0.4361  0.2096  0.12
O  0.1415  0.2755  0.5019  0.06
O  0.8583  0.7293  0.4947  0.11
O  0.9261  0.2820  0.0631  0.17
Ti  0.8601  0.8601  0.8601  -0.03
Ti  0.3583  0.3583  0.3583  -0.04
Ti  0.6408  0.6408  0.6408  -0.03
P  0.0319  0.7552  0.4648  -0.01
P  0.7552  0.4648  0.0319  -0.01
P  0.5299  0.9685  0.2506  -0.01
P  0.2506  0.5299  0.9685  -0.01
P  0.4648  0.0319  0.7552  -0.01
P  0.9685  0.2506  0.5299  -0.01

## Properties
- Calculated total energy: -7.64 eV per atom
- Total magnetization: 0.004 μB per atom